# 1
# GGA-PBE ZrIF2, optimized geometry
# polymorph energy (0 for the lowest one)	0	meV/atom
# SG	I4_1/amd (141)
# magnetic moment	0.9	μB per formula unit
data_ZrIF2
_cell_length_a 7.8033
_cell_length_b 7.8033
_cell_length_c 7.8033
_cell_angle_alpha 145.58
_cell_angle_beta 145.58
_cell_angle_gamma 49.47
_symmetry_space_group_name_H-M 'P 1'
_symmetry_Int_Tables_number 1
_symmetry_space_group_name_Hall 'P 1'
loop_
_atom_site_label
_atom_site_fract_x
_atom_site_fract_y
_atom_site_fract_z
_atom_site_occupancy
Zr1 0.3750 0.6250 0.7500 1
Zr2 0.6250 0.3750 0.2500 1
I1 0.1250 0.8750 0.2500 1
I2 0.8750 0.1250 0.7500 1
F1 0.0000 0.5000 0.5000 1
F2 0.5000 0.0000 0.0000 1
F3 0.5000 0.5000 0.0000 1
F4 0.5000 0.5000 0.5000 1

=====

# 2
# GGA-PBE Zr2IF, optimized geometry
# polymorph energy (0 for the lowest one)	0	meV/atom
# SG	I-42d (122)
# magnetic moment	0.0	μB per formula unit
data_Zr2IF
_cell_length_a 8.6256
_cell_length_b 8.6256
_cell_length_c 8.6256
_cell_angle_alpha 147.06
_cell_angle_beta 147.06
_cell_angle_gamma 47.27
_symmetry_space_group_name_H-M 'P 1'
_symmetry_Int_Tables_number 1
_symmetry_space_group_name_Hall 'P 1'
loop_
_atom_site_label
_atom_site_fract_x
_atom_site_fract_y
_atom_site_fract_z
_atom_site_occupancy
Zr1 0.0029 0.6250 0.8779 1
Zr2 0.3750 0.2529 0.3779 1
Zr3 0.7471 0.1250 0.1221 1
Zr4 0.8750 0.9971 0.6221 1
I1 0.2500 0.7500 0.5000 1
I2 0.5000 0.5000 0.0000 1
F1 0.0000 0.0000 0.0000 1
F2 0.7500 0.2500 0.5000 1

=====

# 3
# GGA-PBE ZrIF3, optimized geometry
# polymorph energy (0 for the lowest one)	2561	meV/atom
# SG	Pm-3m (221)
# magnetic moment	2.2	μB per formula unit
data_ZrIF3
_cell_length_a 4.8145
_cell_length_b 4.8145
_cell_length_c 4.8145
_cell_angle_alpha 90.00
_cell_angle_beta 90.00
_cell_angle_gamma 90.00
_symmetry_space_group_name_H-M 'P 1'
_symmetry_Int_Tables_number 1
_symmetry_space_group_name_Hall 'P 1'
loop_
_atom_site_label
_atom_site_fract_x
_atom_site_fract_y
_atom_site_fract_z
_atom_site_occupancy
Zr1 0.0000 0.0000 0.0000 1
I1 0.5000 0.5000 0.5000 1
F1 0.0000 0.5000 0.5000 1
F2 0.5000 0.0000 0.5000 1
F3 0.5000 0.5000 0.0000 1

=====

# 4
# GGA-PBE ZrIF3, optimized geometry
# polymorph energy (0 for the lowest one)	0	meV/atom
# SG	Pmn2_1 (31)
# magnetic moment	0.0	μB per formula unit
data_ZrIF3
_cell_length_a 6.3848
_cell_length_b 6.8798
_cell_length_c 5.1437
_cell_angle_alpha 90.00
_cell_angle_beta 90.00
_cell_angle_gamma 90.00
_symmetry_space_group_name_H-M 'P 1'
_symmetry_Int_Tables_number 1
_symmetry_space_group_name_Hall 'P 1'
loop_
_atom_site_label
_atom_site_fract_x
_atom_site_fract_y
_atom_site_fract_z
_atom_site_occupancy
Zr1 0.0000 0.0141 0.0000 1
Zr2 0.5000 0.9859 0.5000 1
I1 0.0000 0.3966 0.8485 1
I2 0.5000 0.6034 0.3485 1
F1 0.0000 0.8034 0.2511 1
F2 0.2247 0.9155 0.7422 1
F3 0.2753 0.0845 0.2422 1
F4 0.5000 0.1966 0.7511 1
F5 0.7247 0.0845 0.2422 1
F6 0.7753 0.9155 0.7422 1

=====

# 5
# GGA-PBE ZrIF2, optimized geometry
# polymorph energy (0 for the lowest one)	721	meV/atom
# SG	Fm-3m (225)
# magnetic moment	0.0	μB per formula unit
data_ZrIF2
_cell_length_a 4.5355
_cell_length_b 4.5355
_cell_length_c 4.5355
_cell_angle_alpha 60.00
_cell_angle_beta 60.00
_cell_angle_gamma 60.00
_symmetry_space_group_name_H-M 'P 1'
_symmetry_Int_Tables_number 1
_symmetry_space_group_name_Hall 'P 1'
loop_
_atom_site_label
_atom_site_fract_x
_atom_site_fract_y
_atom_site_fract_z
_atom_site_occupancy
Zr1 0.0000 0.0000 0.0000 1
I1 0.5000 0.5000 0.5000 1
F1 0.2500 0.2500 0.2500 1
F2 0.7500 0.7500 0.7500 1

=====

# 6
# GGA-PBE ZrIF3, optimized geometry
# polymorph energy (0 for the lowest one)	414	meV/atom
# SG	Pm-3m (221)
# magnetic moment	0.0	μB per formula unit
data_ZrIF3
_cell_length_a 4.3678
_cell_length_b 4.3678
_cell_length_c 4.3678
_cell_angle_alpha 90.00
_cell_angle_beta 90.00
_cell_angle_gamma 90.00
_symmetry_space_group_name_H-M 'P 1'
_symmetry_Int_Tables_number 1
_symmetry_space_group_name_Hall 'P 1'
loop_
_atom_site_label
_atom_site_fract_x
_atom_site_fract_y
_atom_site_fract_z
_atom_site_occupancy
Zr1 0.0000 0.0000 0.0000 1
I1 0.5000 0.5000 0.5000 1
F1 0.0000 0.0000 0.5000 1
F2 0.0000 0.5000 0.0000 1
F3 0.5000 0.0000 0.0000 1

=====

# 7
# GGA-PBE ZrI2F2, optimized geometry
# polymorph energy (0 for the lowest one)	0	meV/atom
# SG	I4/mmm (139)
# magnetic moment	0.6	μB per formula unit
data_ZrI2F2
_cell_length_a 7.5619
_cell_length_b 7.5619
_cell_length_c 7.5619
_cell_angle_alpha 151.56
_cell_angle_beta 151.56
_cell_angle_gamma 40.66
_symmetry_space_group_name_H-M 'P 1'
_symmetry_Int_Tables_number 1
_symmetry_space_group_name_Hall 'P 1'
loop_
_atom_site_label
_atom_site_fract_x
_atom_site_fract_y
_atom_site_fract_z
_atom_site_occupancy
Zr1 0.0000 0.0000 0.0000 1
I1 0.3797 0.3797 0.0000 1
I2 0.6203 0.6203 0.0000 1
F1 0.2500 0.7500 0.5000 1
F2 0.7500 0.2500 0.5000 1

=====

# 8
# GGA-PBE ZrIF2, optimized geometry
# polymorph energy (0 for the lowest one)	264	meV/atom
# SG	R-3m (166)
# magnetic moment	0.0	μB per formula unit
data_ZrIF2
_cell_length_a 9.4845
_cell_length_b 9.4845
_cell_length_c 9.4845
_cell_angle_alpha 18.67
_cell_angle_beta 18.67
_cell_angle_gamma 18.67
_symmetry_space_group_name_H-M 'P 1'
_symmetry_Int_Tables_number 1
_symmetry_space_group_name_Hall 'P 1'
loop_
_atom_site_label
_atom_site_fract_x
_atom_site_fract_y
_atom_site_fract_z
_atom_site_occupancy
Zr1 0.0000 0.0000 0.0000 1
I1 0.5000 0.5000 0.5000 1
F1 0.3854 0.3854 0.3854 1
F2 0.6146 0.6146 0.6146 1

=====

# 9
# GGA-PBE ZrI2F2, optimized geometry
# polymorph energy (0 for the lowest one)	38	meV/atom
# SG	P4/mbm (127)
# magnetic moment	0.0	μB per formula unit
data_ZrI2F2
_cell_length_a 7.3272
_cell_length_b 7.3272
_cell_length_c 4.6446
_cell_angle_alpha 90.00
_cell_angle_beta 90.00
_cell_angle_gamma 90.00
_symmetry_space_group_name_H-M 'P 1'
_symmetry_Int_Tables_number 1
_symmetry_space_group_name_Hall 'P 1'
loop_
_atom_site_label
_atom_site_fract_x
_atom_site_fract_y
_atom_site_fract_z
_atom_site_occupancy
Zr1 0.0000 0.0000 0.0000 1
Zr2 0.5000 0.5000 0.0000 1
I1 0.1565 0.3435 0.0000 1
I2 0.3435 0.8435 0.0000 1
I3 0.6565 0.1565 0.0000 1
I4 0.8435 0.6565 0.0000 1
F1 0.1886 0.6886 0.5000 1
F2 0.3114 0.1886 0.5000 1
F3 0.6886 0.8114 0.5000 1
F4 0.8114 0.3114 0.5000 1

=====

# 10
# GGA-PBE In5F, optimized geometry
# SG	Cmmm (65)
# magnetic moment	0.0	μB per formula unit
data_In5F
_cell_length_a 8.4527
_cell_length_b 8.4527
_cell_length_c 5.6189
_cell_angle_alpha 90.00
_cell_angle_beta 90.00
_cell_angle_gamma 157.56
_symmetry_space_group_name_H-M 'P 1'
_symmetry_Int_Tables_number 1
_symmetry_space_group_name_Hall 'P 1'
loop_
_atom_site_label
_atom_site_fract_x
_atom_site_fract_y
_atom_site_fract_z
_atom_site_occupancy
In1 0.0000 0.0000 0.0000 1
In2 0.1274 0.8726 0.5000 1
In3 0.3314 0.6686 0.0000 1
In4 0.6686 0.3314 0.0000 1
In5 0.8726 0.1274 0.5000 1
F1 0.5000 0.5000 0.5000 1

=====

# 11
# GGA-PBE InIr3F, optimized geometry
# polymorph energy (0 for the lowest one)	0	meV/atom
# SG	Pm-3m (221)
# magnetic moment	0.0	μB per formula unit
data_InIr3F
_cell_length_a 4.3279
_cell_length_b 4.3279
_cell_length_c 4.3279
_cell_angle_alpha 90.00
_cell_angle_beta 90.00
_cell_angle_gamma 90.00
_symmetry_space_group_name_H-M 'P 1'
_symmetry_Int_Tables_number 1
_symmetry_space_group_name_Hall 'P 1'
loop_
_atom_site_label
_atom_site_fract_x
_atom_site_fract_y
_atom_site_fract_z
_atom_site_occupancy
In1 0.0000 0.0000 0.0000 1
Ir1 0.0000 0.5000 0.5000 1
Ir2 0.5000 0.0000 0.5000 1
Ir3 0.5000 0.5000 0.0000 1
F1 0.5000 0.5000 0.5000 1

=====

# 12
# GGA-PBE InIrF3, optimized geometry
# polymorph energy (0 for the lowest one)	0	meV/atom
# SG	Pm-3m (221)
# magnetic moment	0.0	μB per formula unit
data_InIrF3
_cell_length_a 4.3314
_cell_length_b 4.3314
_cell_length_c 4.3314
_cell_angle_alpha 90.00
_cell_angle_beta 90.00
_cell_angle_gamma 90.00
_symmetry_space_group_name_H-M 'P 1'
_symmetry_Int_Tables_number 1
_symmetry_space_group_name_Hall 'P 1'
loop_
_atom_site_label
_atom_site_fract_x
_atom_site_fract_y
_atom_site_fract_z
_atom_site_occupancy
In1 0.0000 0.0000 0.0000 1
Ir1 0.5000 0.5000 0.5000 1
F1 0.0000 0.5000 0.5000 1
F2 0.5000 0.0000 0.5000 1
F3 0.5000 0.5000 0.0000 1

=====

One value per record, in order, for DOS(E_F): 0.74 0.99 0.70 0.00 0.79 0.05 0.86 0.43 0.01 0.37 1.10 0.44 states/eV/atom.
One value per record, in order, for calculated volume: 18.9 23.6 22.3 22.6 16.5 16.7 19.6 19.1 24.9 25.5 16.2 16.3 Å³/atom.
One value per record, in order, for E_form (uncorrected): -2.12 -0.53 -0.30 -2.86 -1.40 -2.44 -0.75 -1.85 -0.71 -0.42 1.06 -0.92 eV/atom.